[1]
{"formula": "Ce2HoLu", "functional": "GGA-PBE", "state": "relaxed", "magnetic_moment_mub_per_cell": 1.5, "delta_e_f_mev_per_atom": 202, "dft_energy_ev_per_atom": -5.04, "lattice": [[5.585, 0.000, 0.000], [2.793, 4.837, 0.000], [2.793, 1.612, 4.560]], "species": ["Ce", "Lu", "Ce", "Ho"], "frac_coords": [[0.250, 0.250, 0.250], [0.000, 0.000, 0.000], [0.750, 0.750, 0.750], [0.500, 0.500, 0.500]]}



[2]
{"formula": "CeHoLu2", "functional": "GGA-PBE", "state": "relaxed", "magnetic_moment_mub_per_cell": 0.5, "delta_e_f_mev_per_atom": 66, "dft_energy_ev_per_atom": -4.82, "lattice": [[4.881, 0.000, 0.000], [0.000, 4.948, 0.000], [0.000, 0.000, 4.948]], "species": ["Ce", "Lu", "Lu", "Ho"], "frac_coords": [[0.500, 0.500, 0.500], [0.000, 0.500, 0.000], [0.000, 0.000, 0.500], [0.500, 0.000, 0.000]]}



[3]
{"formula": "CeHoLuTh", "functional": "GGA-PBE", "state": "relaxed", "magnetic_moment_mub_per_cell": 0.8, "delta_e_f_mev_per_atom": 165, "dft_energy_ev_per_atom": -5.45, "lattice": [[5.605, 0.000, 0.000], [2.802, 4.854, 0.000], [2.802, 1.618, 4.576]], "species": ["Lu", "Th", "Ho", "Ce"], "frac_coords": [[0.000, 0.000, 0.000], [0.750, 0.750, 0.750], [0.500, 0.500, 0.500], [0.250, 0.250, 0.250]]}



[4]
{"formula": "CeHoLuTl", "functional": "GGA-PBE", "state": "relaxed", "magnetic_moment_mub_per_cell": 0.7, "delta_e_f_mev_per_atom": 49, "dft_energy_ev_per_atom": -4.30, "lattice": [[-4.227, 0.712, 3.215], [-4.278, -3.194, -0.451], [-1.084, -3.583, 3.833]], "species": ["Lu", "Tl", "Ce", "Ho"], "frac_coords": [[0.750, 0.750, 0.750], [0.500, 0.500, 0.500], [0.000, 0.000, 0.000], [0.250, 0.250, 0.250]]}



[5]
{"formula": "CeHoTmLu", "functional": "GGA-PBE", "state": "relaxed", "magnetic_moment_mub_per_cell": 0.6, "delta_e_f_mev_per_atom": 135, "dft_energy_ev_per_atom": -4.74, "lattice": [[5.581, 0.000, 0.000], [2.791, 4.834, 0.000], [2.791, 1.611, 4.557]], "species": ["Lu", "Ho", "Tm", "Ce"], "frac_coords": [[0.750, 0.750, 0.750], [0.000, 0.000, 0.000], [0.250, 0.250, 0.250], [0.500, 0.500, 0.500]]}



[6]
{"formula": "CeHoLuZr", "functional": "GGA-PBE", "state": "relaxed", "magnetic_moment_mub_per_cell": 1.3, "delta_e_f_mev_per_atom": 200, "dft_energy_ev_per_atom": -5.70, "lattice": [[5.417, 0.000, 0.000], [2.709, 4.692, 0.000], [2.709, 1.564, 4.423]], "species": ["Ce", "Lu", "Ho", "Zr"], "frac_coords": [[0.750, 0.750, 0.750], [0.500, 0.500, 0.500], [0.250, 0.250, 0.250], [0.000, 0.000, 0.000]]}



[7]
{"formula": "Ce2HoMg", "functional": "GGA-PBE", "state": "relaxed", "magnetic_moment_mub_per_cell": 1.3, "delta_e_f_mev_per_atom": 106, "dft_energy_ev_per_atom": -4.40, "lattice": [[3.317, -0.001, -0.002], [1.658, 2.873, -0.002], [1.651, 0.953, 11.744]], "species": ["Mg", "Ce", "Ce", "Ho"], "frac_coords": [[0.500, 0.500, 0.500], [0.084, 0.084, 0.748], [0.250, 0.250, 0.251], [0.667, 0.667, 0.000]]}



[8]
{"formula": "CeHo2Mg3", "functional": "GGA-PBE", "state": "relaxed", "magnetic_moment_mub_per_cell": 0.9, "delta_e_f_mev_per_atom": -19, "dft_energy_ev_per_atom": -3.33, "lattice": [[-0.767, 1.797, 3.223], [-3.052, -2.161, 0.478], [6.334, -7.666, 5.783]], "species": ["Ho", "Ho", "Ce", "Mg", "Mg", "Mg"], "frac_coords": [[0.500, 0.500, 0.163], [0.500, 0.500, 0.837], [0.500, 0.500, 0.500], [0.000, 0.000, 0.674], [0.000, 0.000, 0.326], [0.000, 0.000, 0.000]]}